# NpMnInO6 | the Alexandria database | PBE+U | relaxed
# DFT total energy = -0.289 Ha/atom
data_NpMnInO6
_cell_length_a 5.485
_cell_length_b 5.485
_cell_length_c 9.319
_cell_angle_alpha 90.00
_cell_angle_beta 90.00
_cell_angle_gamma 120.00
_symmetry_space_group_name_H-M 'P 1'
_symmetry_Int_Tables_number 1
loop_
_symmetry_equiv_pos_as_xyz
'x,y,z'
loop_
_atom_site_label
_atom_site_type_symbol
_atom_site_fract_x
_atom_site_fract_y
_atom_site_fract_z
Np1 Np 0.667 0.333 0.250
Np2 Np 0.333 0.667 0.750
Mn1 Mn 0.000 0.000 0.000
Mn2 Mn 0.000 0.000 0.500
In1 In 0.333 0.667 0.250
In2 In 0.667 0.333 0.750
O1 O 0.670 0.648 0.131
O2 O 0.978 0.330 0.131
O3 O 0.330 0.978 0.631
O4 O 0.022 0.670 0.869
O5 O 0.352 0.330 0.369
O6 O 0.978 0.648 0.369
O7 O 0.648 0.978 0.869
O8 O 0.670 0.022 0.369
O9 O 0.022 0.352 0.631
O10 O 0.352 0.022 0.131
O11 O 0.648 0.670 0.631
O12 O 0.330 0.352 0.869